# 1
DFT (PBE-GGA) results for an optimized crystal structure of Tb2Cu2Au.

Values from the calculation:
The calculation puts the formation energy at -434 meV per atom. As for the total DFT energy (no corrections): -4.5803 eV per atom. For the distance to the lowest polymorph of the same formula, the calculation gives 8 meV per atom. The density is 10.1 g cm⁻³. For the volume, the calculation gives 21.1 Å³ per atom.

Cell and atoms, written as CIF:
```
data_Tb2Cu2Au
_space_group_name_H-M_alt 'C 1 2/m 1'
_space_group_IT_number 12
_space_group_name_Hall '-C 2y'
_cell_length_a 10.512
_cell_length_b 4.142
_cell_length_c 10.610
_cell_angle_alpha 90.00
_cell_angle_beta 114.17
_cell_angle_gamma 90.00
loop_
_atom_site_label
_atom_site_fract_x
_atom_site_fract_y
_atom_site_fract_z
Tb1 0.014 0.000 0.339
Tb2 0.190 0.000 0.111
Cu1 0.028 0.500 0.893
Cu2 0.129 0.500 0.557
Au1 0.217 0.500 0.331
```

---

# 2
DFT (PBE-GGA) results for an optimized crystal structure of MnW.

Values from the calculation:
The calculation puts the formation energy at 394 meV per atom. As for the total DFT energy (no corrections): -10.6674 eV per atom. The density is 13.6 g cm⁻³. For the volume, the calculation gives 14.6 Å³ per atom.

Cell and atoms, written as CIF:
```
data_MnW
_space_group_name_H-M_alt 'P -6 m 2'
_space_group_IT_number 187
_space_group_name_Hall 'P -6 2'
_cell_length_a 2.7678
_cell_length_b 2.7678
_cell_length_c 4.4062
_cell_angle_alpha 90.00
_cell_angle_beta 90.00
_cell_angle_gamma 120.00
loop_
_atom_site_label
_atom_site_fract_x
_atom_site_fract_y
_atom_site_fract_z
Mn1 0.0000 0.0000 0.0000
W1 0.3333 0.6667 0.5000
```

---

# 3
DFT (PBE-GGA) results for an optimized crystal structure of RuAu3.

Values from the calculation:
The calculation puts the formation energy at 392 meV per atom. As for the total DFT energy (no corrections): -4.3850 eV per atom. The density is 16.6 g cm⁻³. For the volume, the calculation gives 17.3 Å³ per atom.

Cell and atoms, written as CIF:
```
data_RuAu3
_space_group_name_H-M_alt 'I 4/m m m'
_space_group_IT_number 139
_space_group_name_Hall '-I 4 2'
_cell_length_a 4.213
_cell_length_b 4.213
_cell_length_c 15.587
_cell_angle_alpha 90.00
_cell_angle_beta 90.00
_cell_angle_gamma 90.00
loop_
_atom_site_label
_atom_site_fract_x
_atom_site_fract_y
_atom_site_fract_z
Ru1 0.000 0.000 0.126
Au1 0.000 0.000 0.375
Au2 0.000 0.500 0.000
Au3 0.000 0.500 0.250
```

---

# 4
DFT (PBE-GGA) results for an optimized crystal structure of Mn2SbAs.

Values from the calculation:
The uncorrected formation energy is -96.8 meV per atom. As for the total DFT energy (no corrections): -6.8746 eV per atom. The density is 7.0 g cm⁻³. For the volume, the calculation gives 18.1 Å³ per atom.

Cell and atoms, written as CIF:
```
data_Mn2SbAs
_space_group_name_H-M_alt 'P -6 m 2'
_space_group_IT_number 187
_space_group_name_Hall 'P -6 2'
_cell_length_a 3.8405
_cell_length_b 3.8405
_cell_length_c 5.6606
_cell_angle_alpha 90.00
_cell_angle_beta 90.00
_cell_angle_gamma 120.00
loop_
_atom_site_label
_atom_site_fract_x
_atom_site_fract_y
_atom_site_fract_z
Mn1 0.0000 0.0000 0.2299
Sb1 0.3333 0.6667 0.5000
As1 0.6667 0.3333 0.0000
```

---

# 5
DFT (PBE-GGA) results for an optimized crystal structure of LiGa2SbO6.

Values from the calculation:
The uncorrected formation energy is -1749.1 meV per atom. As for the total DFT energy (no corrections): -5.9330 eV per atom. The density is 5.2 g cm⁻³. For the volume, the calculation gives 11.5 Å³ per atom.

Cell and atoms, written as CIF:
```
data_LiGa2SbO6
_space_group_name_H-M_alt 'C 1 2/c 1'
_space_group_IT_number 15
_space_group_name_Hall '-C 2yc'
_cell_length_a 9.677
_cell_length_b 9.134
_cell_length_c 5.273
_cell_angle_alpha 90.00
_cell_angle_beta 98.21
_cell_angle_gamma 90.00
loop_
_atom_site_label
_atom_site_fract_x
_atom_site_fract_y
_atom_site_fract_z
Li1 0.000 0.085 0.250
Ga1 0.191 0.402 0.294
Sb1 0.000 0.261 0.750
O1 0.109 0.255 0.094
O2 0.117 0.103 0.628
O3 0.130 0.420 0.623
```

---

# 6
DFT (PBE-GGA) results for an optimized crystal structure of AcY2Tl.

Values from the calculation:
The calculation puts the formation energy at -108 meV per atom. As for the total DFT energy (no corrections): -4.9583 eV per atom. For the distance to the lowest polymorph of the same formula, the calculation gives 67 meV per atom. The density is 7.6 g cm⁻³. For the volume, the calculation gives 33.4 Å³ per atom.

Cell and atoms, written as CIF:
```
data_AcY2Tl
_space_group_name_H-M_alt 'C 1 2/m 1'
_space_group_IT_number 12
_space_group_name_Hall '-C 2y'
_cell_length_a 6.500
_cell_length_b 3.770
_cell_length_c 11.138
_cell_angle_alpha 90.00
_cell_angle_beta 101.37
_cell_angle_gamma 90.00
loop_
_atom_site_label
_atom_site_fract_x
_atom_site_fract_y
_atom_site_fract_z
Ac1 0.000 0.000 0.000
Y1 0.241 0.000 0.723
Tl1 0.000 0.500 0.500
```

---

# 7
DFT (PBE-GGA) results for an optimized crystal structure of ZrUNbIr.

Values from the calculation:
The calculation puts the formation energy at -26 meV per atom. As for the total DFT energy (no corrections): -9.7177 eV per atom. The density is 13.6 g cm⁻³. For the volume, the calculation gives 18.7 Å³ per atom.

Cell and atoms, written as CIF:
```
data_ZrUNbIr
_space_group_name_H-M_alt 'F -4 3 m'
_space_group_IT_number 216
_space_group_name_Hall 'F -4 2 3'
_cell_length_a 6.691
_cell_length_b 6.691
_cell_length_c 6.691
_cell_angle_alpha 90.00
_cell_angle_beta 90.00
_cell_angle_gamma 90.00
loop_
_atom_site_label
_atom_site_fract_x
_atom_site_fract_y
_atom_site_fract_z
Zr1 0.000 0.000 0.000
U1 0.250 0.250 0.250
Nb1 0.000 0.000 0.500
Ir1 0.250 0.250 0.750
```

---

# 8
DFT (PBE-GGA) results for an optimized crystal structure of Hf4HPt.

Values from the calculation:
As for the total DFT energy (no corrections): -8.6238 eV per atom. The density is 13.8 g cm⁻³. For the volume, the calculation gives 18.3 Å³ per atom.

Cell and atoms, written as CIF:
```
data_Hf4HPt
_space_group_name_H-M_alt 'C 1 2/c 1'
_space_group_IT_number 15
_space_group_name_Hall '-C 2yc'
_cell_length_a 8.062
_cell_length_b 12.900
_cell_length_c 5.727
_cell_angle_alpha 90.00
_cell_angle_beta 132.64
_cell_angle_gamma 90.00
loop_
_atom_site_label
_atom_site_fract_x
_atom_site_fract_y
_atom_site_fract_z
Hf1 0.150 0.209 0.167
Hf2 0.232 0.046 0.625
H1 0.000 0.058 0.750
Pt1 0.000 0.377 0.750
```